This record from Alexandria describes Ta2TcGe after structural relaxation. The functional is GGA-PBE.

abc: 9.7490 9.7490 9.7490
angles: 156.77 156.77 33.08
Positions (direct):
Ta: 0.1152 0.6250 0.9902
Ta: 0.3750 0.3652 0.4902
Ta: 0.6348 0.1250 0.0098
Ta: 0.8750 0.8848 0.5098
Tc: 0.2500 0.7500 0.5000
Tc: 0.5000 0.5000 0.0000
Ge: 0.0000 0.0000 0.0000
Ge: 0.7500 0.2500 0.5000

Results
* Fermi-level density of states: 9.384 states/eV/cell
* calculated formation energy: 510 meV per atom
* space group: I-42d, No. 122